Density functional theory data (PBE) for an optimized crystal structure of RbBaPSe4.

## Properties
Energy relative to the elements, uncorrected in meV/atom: -1043
Symmetry: No. 11

abc: 7.0913 7.1522 10.0339
angles: 90.00 106.79 90.00
Fractional coordinates of all 14 atoms:
1 Rb 0.2308 0.2500 0.4350
2 Rb 0.7692 0.7500 0.5650
3 Ba 0.2757 0.2500 0.9621
4 Ba 0.7243 0.7500 0.0379
5 P 0.3146 0.7500 0.2030
6 P 0.6854 0.2500 0.7970
7 Se 0.1011 0.7500 0.3261
8 Se 0.1692 0.7500 0.9724
9 Se 0.4907 0.9999 0.7502
10 Se 0.4907 0.5001 0.7502
11 Se 0.5093 0.0001 0.2498
12 Se 0.5093 0.4999 0.2498
13 Se 0.8308 0.2500 0.0276
14 Se 0.8989 0.2500 0.6739


Density functional theory data (PBE) for an optimized crystal structure of RbBaSiP2.

## Properties
Energy relative to the elements, uncorrected in meV/atom: -245
Symmetry: No. 13

abc: 7.0377 5.3960 9.3881
angles: 90.00 109.82 90.00
Fractional coordinates of all 10 atoms:
1 Rb 0.0000 0.0692 0.2500
2 Rb 0.0000 0.9308 0.7500
3 Ba 0.5000 0.2650 0.7500
4 Ba 0.5000 0.7350 0.2500
5 Si 0.0000 0.5000 0.0000
6 Si 0.0000 0.5000 0.5000
7 P 0.2705 0.3035 0.0242
8 P 0.2705 0.6965 0.5242
9 P 0.7295 0.3035 0.4758
10 P 0.7295 0.6965 0.9758


Density functional theory data (PBE) for an optimized crystal structure of RbBa2SiP.

## Properties
Energy relative to the elements, uncorrected in meV/atom: 92
Symmetry: No. 123

abc: 6.3667 6.3667 5.0846
angles: 90.00 90.00 90.00
Fractional coordinates of all 5 atoms:
1 Rb 0.0000 0.0000 0.0000
2 Ba 0.0000 0.5000 0.5000
3 Ba 0.5000 0.0000 0.5000
4 Si 0.5000 0.5000 0.5000
5 P 0.5000 0.5000 0.0000


Density functional theory data (PBE) for an optimized crystal structure of RbBaSr2P.

## Properties
Energy of formation in eV per atom: -0.39
Symmetry: No. 123

abc: 6.1711 6.1711 6.5335
angles: 90.00 90.00 90.00
Fractional coordinates of all 5 atoms:
1 Rb 0.0000 0.0000 0.0000
2 Ba 0.5000 0.5000 0.0000
3 Sr 0.0000 0.5000 0.5000
4 Sr 0.5000 0.0000 0.5000
5 P 0.5000 0.5000 0.5000


Density functional theory data (PBE) for an optimized crystal structure of BaReP.

## Properties
Energy of formation in eV per atom: 1.08
Energy above the lowest structure with this stoichiometry in meV per atom: 1591.2
Symmetry: No. 216

abc: 4.7239 4.7239 4.7239
angles: 60.00 60.00 60.00
Fractional coordinates of all 3 atoms:
1 Ba 0.0000 0.0000 0.0000
2 Re 0.5000 0.5000 0.5000
3 P 0.2500 0.2500 0.2500


Density functional theory data (PBE) for an optimized crystal structure of Ba4ReP.

## Properties
Energy of formation in eV per atom: 1.26
Symmetry: No. 216

abc: 6.8629 6.8629 6.8629
angles: 60.00 60.00 60.00
Fractional coordinates of all 6 atoms:
1 Ba 0.1249 0.1249 0.1249
2 Ba 0.1249 0.1249 0.6253
3 Ba 0.1249 0.6253 0.1249
4 Ba 0.6253 0.1249 0.1249
5 Re 0.5000 0.5000 0.5000
6 P 0.7500 0.7500 0.7500


Density functional theory data (PBE) for an optimized crystal structure of Ba2ReP.

## Properties
Energy of formation in eV per atom: 0.76
Symmetry: No. 12

abc: 4.5866 4.5866 8.5963
angles: 105.41 105.41 59.95
Fractional coordinates of all 4 atoms:
1 Ba 0.2379 0.2379 0.2145
2 Ba 0.7621 0.7621 0.7855
3 Re 0.0000 0.0000 0.5000
4 P 0.5000 0.5000 0.0000


Density functional theory data (PBE) for an optimized crystal structure of Ba2ReP.

## Properties
Energy of formation in eV per atom: -0.16
Symmetry: No. 8

abc: 4.1377 4.1377 9.3822
angles: 102.42 102.42 60.02
Fractional coordinates of all 4 atoms:
1 Ba 0.0000 0.0000 0.0000
2 Ba 0.1691 0.1691 0.5204
3 Re 0.4173 0.4173 0.2595
4 P 0.7511 0.7511 0.2604


Density functional theory data (PBE) for an optimized crystal structure of BaReP.

## Properties
Energy of formation in eV per atom: -0.51
Energy above the lowest structure with this stoichiometry in meV per atom: 0.0
Symmetry: No. 129

abc: 4.0485 4.0485 10.1502
angles: 90.00 90.00 90.00
Fractional coordinates of all 6 atoms:
1 Ba 0.2500 0.2500 0.2072
2 Ba 0.7500 0.7500 0.7928
3 Re 0.2500 0.7500 0.5000
4 Re 0.7500 0.2500 0.5000
5 P 0.2500 0.2500 0.6285
6 P 0.7500 0.7500 0.3715


Density functional theory data (PBE) for an optimized crystal structure of BaRe3P.

## Properties
Energy of formation in eV per atom: 1.06
Energy above the lowest structure with this stoichiometry in meV per atom: 0.0
Symmetry: No. 221

abc: 4.6316 4.6316 4.6316
angles: 90.00 90.00 90.00
Fractional coordinates of all 5 atoms:
1 Ba 0.0000 0.0000 0.0000
2 Re 0.0000 0.5000 0.5000
3 Re 0.5000 0.0000 0.5000
4 Re 0.5000 0.5000 0.0000
5 P 0.5000 0.5000 0.5000


Density functional theory data (PBE) for an optimized crystal structure of Ba2ReP.

## Properties
Energy of formation in eV per atom: 0.88
Symmetry: No. 216

abc: 5.3291 5.3291 5.3291
angles: 60.00 60.00 60.00
Fractional coordinates of all 4 atoms:
1 Ba 0.0000 0.0000 0.0000
2 Ba 0.2500 0.2500 0.2500
3 Re 0.5000 0.5000 0.5000
4 P 0.7500 0.7500 0.7500


Density functional theory data (PBE) for an optimized crystal structure of Ba2ReP.

## Properties
Energy of formation in eV per atom: 0.68
Symmetry: No. 65

abc: 5.7740 5.7740 3.4827
angles: 90.00 90.00 102.17
Fractional coordinates of all 4 atoms:
1 Ba 0.0000 0.5000 0.0000
2 Ba 0.5000 0.0000 0.0000
3 Re 0.0000 0.0000 0.5000
4 P 0.5000 0.5000 0.5000


Density functional theory data (PBE) for an optimized crystal structure of Ba2ReP.

## Properties
Energy of formation in eV per atom: 0.78
Symmetry: No. 119

abc: 6.3227 6.3227 6.3227
angles: 136.32 136.32 63.49
Fractional coordinates of all 4 atoms:
1 Ba 0.0000 0.0000 0.0000
2 Ba 0.7500 0.2500 0.5000
3 Re 0.5000 0.5000 0.0000
4 P 0.2500 0.7500 0.5000


Density functional theory data (PBE) for an optimized crystal structure of Ba2ReP.

## Properties
Energy of formation in eV per atom: 0.85
Symmetry: No. 99

abc: 4.6812 4.6812 6.6201
angles: 90.00 90.00 90.00
Fractional coordinates of all 4 atoms:
1 Ba 0.0000 0.0000 0.0000
2 Ba 0.5000 0.5000 0.4986
3 Re 0.0000 0.0000 0.5005
4 P 0.5000 0.5000 0.9980


Density functional theory data (PBE) for an optimized crystal structure of Ba2ReP.

## Properties
Energy of formation in eV per atom: 0.17
Symmetry: No. 99

abc: 3.3662 3.3662 9.8267
angles: 90.00 90.00 90.00
Fractional coordinates of all 4 atoms:
1 Ba 0.0000 0.0000 0.0000
2 Ba 0.5000 0.5000 0.4193
3 Re 0.5000 0.5000 0.7511
4 P 0.0000 0.0000 0.6610


Density functional theory data (PBE) for an optimized crystal structure of BaReP.

## Properties
Energy of formation in eV per atom: 1.06
Energy above the lowest structure with this stoichiometry in meV per atom: 1564.8
Symmetry: No. 216

abc: 4.6281 4.6281 4.6281
angles: 60.00 60.00 60.00
Fractional coordinates of all 3 atoms:
1 Ba 0.0000 0.0000 0.0000
2 Re 0.2500 0.2500 0.2500
3 P 0.5000 0.5000 0.5000


Density functional theory data (PBE) for an optimized crystal structure of BaRe3P.

## Properties
Energy of formation in eV per atom: 4.21
Energy above the lowest structure with this stoichiometry in meV per atom: 3147.3
Symmetry: No. 221

abc: 5.0084 5.0084 5.0084
angles: 90.00 90.00 90.00
Fractional coordinates of all 5 atoms:
1 Ba 0.0000 0.0000 0.0000
2 Re 0.0000 0.0000 0.5000
3 Re 0.0000 0.5000 0.0000
4 Re 0.5000 0.0000 0.0000
5 P 0.5000 0.5000 0.5000


Density functional theory data (PBE) for an optimized crystal structure of Ba2ReP.

## Properties
Energy of formation in eV per atom: 0.12
Symmetry: No. 122

abc: 8.7321 8.7321 8.7321
angles: 93.81 93.81 150.14
Fractional coordinates of all 8 atoms:
1 Ba 0.3750 0.1938 0.3188
2 Ba 0.8062 0.1250 0.1812
3 Ba 0.8750 0.0562 0.6812
4 Ba 0.9438 0.6250 0.8188
5 Re 0.2500 0.7500 0.5000
6 Re 0.5000 0.5000 0.0000
7 P 0.0000 0.0000 0.0000
8 P 0.7500 0.2500 0.5000


Density functional theory data (PBE) for an optimized crystal structure of Ba2ReP.

## Properties
Energy of formation in eV per atom: -0.05
Symmetry: No. 38

abc: 4.2111 6.3496 6.3496
angles: 46.44 90.00 90.00
Fractional coordinates of all 4 atoms:
1 Ba 0.0000 0.0000 0.0000
2 Ba 0.5000 0.2886 0.2886
3 Re 0.5000 0.6053 0.6053
4 P 0.0000 0.6903 0.6903


Density functional theory data (PBE) for an optimized crystal structure of BaReP4.

## Properties
Energy of formation in eV per atom: 0.73
Symmetry: No. 216

abc: 5.6556 5.6556 5.6556
angles: 60.00 60.00 60.00
Fractional coordinates of all 6 atoms:
1 Ba 0.0000 0.0000 0.0000
2 Re 0.2500 0.2500 0.2500
3 P 0.1948 0.6017 0.6017
4 P 0.6017 0.1948 0.6017
5 P 0.6017 0.6017 0.1948
6 P 0.6017 0.6017 0.6017